(1)
DFT (PBE-GGA) results for crystalline Zn2NiCl at its relaxed geometry.

a = 5.265 Å, b = 5.265 Å, c = 5.265 Å
α = 147.89°, β = 122.69°, γ = 67.22°
Fractional coordinates of all 4 atoms:
Zn 0.000 0.000 0.000
Zn 0.731 0.231 0.500
Ni 0.505 0.505 0.000
Cl 0.297 0.797 0.500

Uncorrected formation energy = 21.3 kJ/mol of formula units
Energy relative to the lowest polymorph listed for this composition = 24.9 kJ per mole of atoms
Uncorrected energy = -2.489 eV per atom
SG = Imm2 (44)

=====

(2)
DFT (PBE-GGA) results for crystalline Ca2NbCoTc at its relaxed geometry.

a = 5.582 Å, b = 5.582 Å, c = 4.320 Å
α = 90.00°, β = 90.00°, γ = 90.00°
Fractional coordinates of all 5 atoms:
Ca 0.000 0.500 0.000
Ca 0.500 0.000 0.000
Nb 0.000 0.000 0.000
Co 0.000 0.000 0.500
Tc 0.500 0.500 0.500

Uncorrected energy = -4.720 eV per atom
SG = P4/mmm (123)

=====

(3)
DFT (PBE-GGA) results for crystalline KBa2BiO5 at its relaxed geometry.

a = 7.340 Å, b = 7.340 Å, c = 7.340 Å
α = 145.45°, β = 126.73°, γ = 65.06°
Fractional coordinates of all 9 atoms:
K 0.000 0.000 0.000
Ba 0.278 0.778 0.500
Ba 0.722 0.222 0.500
Bi 0.500 0.500 0.000
O 0.151 0.371 0.780
O 0.408 0.629 0.780
O 0.500 0.000 0.500
O 0.592 0.371 0.220
O 0.849 0.629 0.220

Uncorrected formation energy = -1598.3 kJ/mol of formula units
Uncorrected energy = -5.576 eV per atom
SG = Immm (71)

=====

(4)
DFT (PBE-GGA) results for crystalline Li2TcGeN at its relaxed geometry.

a = 3.947 Å, b = 3.947 Å, c = 3.915 Å
α = 90.00°, β = 90.00°, γ = 90.00°
Fractional coordinates of all 5 atoms:
Li 0.000 0.500 0.000
Li 0.500 0.000 0.000
Tc 0.000 0.000 0.500
Ge 0.500 0.500 0.500
N 0.000 0.000 0.000

Uncorrected formation energy = -120.7 kJ/mol of formula units
Uncorrected energy = -5.677 eV per atom
SG = P4/mmm (123)